# TaFe3Cl

Crystalline TaFe3Cl at its relaxed geometry (PBE, Alexandria via LeMat-Bulk).

The polymorph energy (0 for the lowest one) is 0.745 eV/atom. The calculation puts the total energy at -6.242 eV/atom. The uncorrected formation energy comes out at 1.575 eV per atom. The value obtained for the mass density is 6.30 g cm⁻³.

The structure in CIF format:
```
data_TaFe3Cl
_chemical_formula_sum 'Ta1 Fe3 Cl1'
_symmetry_space_group_name_H-M 'P m -3 m'
_symmetry_Int_Tables_number 221
_symmetry_space_group_name_Hall '-P 4 2 3'
_cell_length_a 4.661
_cell_length_b 4.661
_cell_length_c 4.661
_cell_angle_alpha 90.00
_cell_angle_beta 90.00
_cell_angle_gamma 90.00
loop_
_atom_site_label
_atom_site_fract_x
_atom_site_fract_y
_atom_site_fract_z
_atom_site_occupancy
Ta1 0.000 0.000 0.000 1
Fe1 0.000 0.000 0.500 1
Cl1 0.500 0.500 0.500 1
```